Run one
# MgTcPH, optimized geometry, DFT PBE
# magnetization = 0.206 μB/f.u.
# Fermi-level density of states = 4.25 states/eV per cell
data_MgTcPH
_cell_length_a 8.261
_cell_length_b 3.017
_cell_length_c 4.798
_cell_angle_alpha 90.00
_cell_angle_beta 106.56
_cell_angle_gamma 90.00
_symmetry_space_group_name_H-M 'C 1 m 1'
_symmetry_Int_Tables_number 8
_symmetry_space_group_name_Hall 'C -2y'
loop_
_atom_site_label
_atom_site_type_symbol
_atom_site_fract_x
_atom_site_fract_y
_atom_site_fract_z
Mg1 Mg 0.000 0.000 0.000
Tc1 Tc 0.492 0.000 0.508
P1 P 0.214 0.000 0.558
H1 H 0.380 0.500 0.324



Run two
# MgTcPH, optimized geometry, DFT PBE
# magnetization = 0.000 μB/f.u.
# Fermi-level density of states = 1.84 states/eV per cell
data_MgTcPH
_cell_length_a 10.551
_cell_length_b 3.136
_cell_length_c 3.054
_cell_angle_alpha 90.00
_cell_angle_beta 101.43
_cell_angle_gamma 90.00
_symmetry_space_group_name_H-M 'C 1 m 1'
_symmetry_Int_Tables_number 8
_symmetry_space_group_name_Hall 'C -2y'
loop_
_atom_site_label
_atom_site_type_symbol
_atom_site_fract_x
_atom_site_fract_y
_atom_site_fract_z
Mg1 Mg 0.000 0.000 0.000
Tc1 Tc 0.283 0.000 0.252
P1 P 0.177 0.500 0.678
H1 H 0.386 0.000 0.827



Run three
# MgTcPH, optimized geometry, DFT PBE
# magnetization = 0.000 μB/f.u.
# Fermi-level density of states = 2.62 states/eV per cell
data_MgTcPH
_cell_length_a 4.0128
_cell_length_b 4.0128
_cell_length_c 3.7515
_cell_angle_alpha 90.00
_cell_angle_beta 90.00
_cell_angle_gamma 120.00
_symmetry_space_group_name_H-M 'P -6 m 2'
_symmetry_Int_Tables_number 187
_symmetry_space_group_name_Hall 'P -6 2'
loop_
_atom_site_label
_atom_site_type_symbol
_atom_site_fract_x
_atom_site_fract_y
_atom_site_fract_z
Mg1 Mg 0.0000 0.0000 0.0000
Tc1 Tc 0.3333 0.6667 0.5000
P1 P 0.6667 0.3333 0.5000
H1 H 0.3333 0.6667 0.0000



The winner here is run two, beating the second structure by 47 meV per atom.



Run one
# MgTcPH, optimized geometry, DFT PBE
# magnetization = 0.000 μB/f.u.
# Fermi-level density of states = 1.22 states/eV per cell
data_MgTcPH
_cell_length_a 6.538
_cell_length_b 3.759
_cell_length_c 5.277
_cell_angle_alpha 90.00
_cell_angle_beta 114.23
_cell_angle_gamma 90.00
_symmetry_space_group_name_H-M 'C 1 m 1'
_symmetry_Int_Tables_number 8
_symmetry_space_group_name_Hall 'C -2y'
loop_
_atom_site_label
_atom_site_type_symbol
_atom_site_fract_x
_atom_site_fract_y
_atom_site_fract_z
Mg1 Mg 0.000 0.000 0.000
Tc1 Tc 0.193 0.000 0.581
P1 P 0.318 0.500 0.452
H1 H 0.318 0.000 0.949



Run two
# MgTcPH, optimized geometry, DFT PBE
# magnetization = 0.000 μB/f.u.
# Fermi-level density of states = 3.24 states/eV per cell
data_MgTcPH
_cell_length_a 3.142
_cell_length_b 3.104
_cell_length_c 10.250
_cell_angle_alpha 90.00
_cell_angle_beta 90.00
_cell_angle_gamma 90.00
_symmetry_space_group_name_H-M 'A m m 2'
_symmetry_Int_Tables_number 38
_symmetry_space_group_name_Hall 'A 2 -2'
loop_
_atom_site_label
_atom_site_type_symbol
_atom_site_fract_x
_atom_site_fract_y
_atom_site_fract_z
Mg1 Mg 0.000 0.000 0.000
Tc1 Tc 0.500 0.000 0.314
P1 P 0.000 0.000 0.717
H1 H 0.500 0.000 0.482



The winner here is run two, beating the second structure by 113 meV per atom.



Run one
# MgTcPH, optimized geometry, DFT PBE
# magnetization = 0.000 μB/f.u.
# Fermi-level density of states = 1.98 states/eV per cell
data_MgTcPH
_cell_length_a 3.118
_cell_length_b 3.118
_cell_length_c 5.387
_cell_angle_alpha 90.00
_cell_angle_beta 90.00
_cell_angle_gamma 90.00
_symmetry_space_group_name_H-M 'P 4 m m'
_symmetry_Int_Tables_number 99
_symmetry_space_group_name_Hall 'P 4 -2'
loop_
_atom_site_label
_atom_site_type_symbol
_atom_site_fract_x
_atom_site_fract_y
_atom_site_fract_z
Mg1 Mg 0.000 0.000 0.000
Tc1 Tc 0.500 0.500 0.333
P1 P 0.000 0.000 0.526
H1 H 0.500 0.500 0.011



Run two
# MgTcPH, optimized geometry, DFT PBE
# magnetization = 0.311 μB/f.u.
# Fermi-level density of states = 3.86 states/eV per cell
data_MgTcPH
_cell_length_a 8.274
_cell_length_b 3.016
_cell_length_c 4.714
_cell_angle_alpha 90.00
_cell_angle_beta 110.31
_cell_angle_gamma 90.00
_symmetry_space_group_name_H-M 'C 1 m 1'
_symmetry_Int_Tables_number 8
_symmetry_space_group_name_Hall 'C -2y'
loop_
_atom_site_label
_atom_site_type_symbol
_atom_site_fract_x
_atom_site_fract_y
_atom_site_fract_z
Mg1 Mg 0.000 0.000 0.000
Tc1 Tc 0.346 0.000 0.471
P1 P 0.144 0.500 0.526
H1 H 0.347 0.500 0.249



Run three
# MgTcPH, optimized geometry, DFT PBE
# magnetization = 0.000 μB/f.u.
# Fermi-level density of states = 2.99 states/eV per cell
data_MgTcPH
_cell_length_a 5.438
_cell_length_b 3.130
_cell_length_c 6.134
_cell_angle_alpha 90.00
_cell_angle_beta 107.28
_cell_angle_gamma 90.00
_symmetry_space_group_name_H-M 'C 1 m 1'
_symmetry_Int_Tables_number 8
_symmetry_space_group_name_Hall 'C -2y'
loop_
_atom_site_label
_atom_site_type_symbol
_atom_site_fract_x
_atom_site_fract_y
_atom_site_fract_z
Mg1 Mg 0.000 0.000 0.000
Tc1 Tc 0.298 0.500 0.393
P1 P 0.218 0.000 0.653
H1 H 0.418 0.000 0.245



Run four
# MgTcPH, optimized geometry, DFT PBE
# magnetization = 0.000 μB/f.u.
# Fermi-level density of states = 4.47 states/eV per cell
data_MgTcPH
_cell_length_a 3.2189
_cell_length_b 3.2189
_cell_length_c 20.4282
_cell_angle_alpha 90.00
_cell_angle_beta 90.00
_cell_angle_gamma 120.00
_symmetry_space_group_name_H-M 'R 3 m'
_symmetry_Int_Tables_number 160
_symmetry_space_group_name_Hall 'R 3 -2"'
loop_
_atom_site_label
_atom_site_type_symbol
_atom_site_fract_x
_atom_site_fract_y
_atom_site_fract_z
Mg1 Mg 0.0000 0.0000 0.0000
Tc1 Tc 0.0000 0.0000 0.7699
P1 P 0.0000 0.0000 0.1674
H1 H 0.0000 0.0000 0.2395



The winner here is run one, beating the second structure by 87 meV per atom.



Run one
# Mg3HPb, optimized geometry, DFT PBE
# magnetization = 0.000 μB/f.u.
# Fermi-level density of states = 2.04 states/eV per cell
data_Mg3HPb
_cell_length_a 4.560
_cell_length_b 4.560
_cell_length_c 4.560
_cell_angle_alpha 90.00
_cell_angle_beta 90.00
_cell_angle_gamma 90.00
_symmetry_space_group_name_H-M 'P m -3 m'
_symmetry_Int_Tables_number 221
_symmetry_space_group_name_Hall '-P 4 2 3'
loop_
_atom_site_label
_atom_site_type_symbol
_atom_site_fract_x
_atom_site_fract_y
_atom_site_fract_z
Mg1 Mg 0.000 0.000 0.500
H1 H 0.000 0.000 0.000
Pb1 Pb 0.500 0.500 0.500



Run two
# Mg3HPb, optimized geometry, DFT PBE
# magnetization = 0.000 μB/f.u.
# Fermi-level density of states = 2.69 states/eV per cell
data_Mg3HPb
_cell_length_a 5.547
_cell_length_b 5.547
_cell_length_c 5.547
_cell_angle_alpha 90.00
_cell_angle_beta 90.00
_cell_angle_gamma 90.00
_symmetry_space_group_name_H-M 'P m -3 m'
_symmetry_Int_Tables_number 221
_symmetry_space_group_name_Hall '-P 4 2 3'
loop_
_atom_site_label
_atom_site_type_symbol
_atom_site_fract_x
_atom_site_fract_y
_atom_site_fract_z
Mg1 Mg 0.000 0.000 0.500
H1 H 0.500 0.500 0.500
Pb1 Pb 0.000 0.000 0.000



The winner here is run one, beating the second structure by 726 meV per atom.



Run one
# MgH2Pb, optimized geometry, DFT PBE
# magnetization = 0.000 μB/f.u.
# Fermi-level density of states = 4.04 states/eV per cell
data_MgH2Pb
_cell_length_a 5.324
_cell_length_b 5.324
_cell_length_c 9.048
_cell_angle_alpha 90.00
_cell_angle_beta 90.00
_cell_angle_gamma 90.00
_symmetry_space_group_name_H-M 'I -4 2 d'
_symmetry_Int_Tables_number 122
_symmetry_space_group_name_Hall 'I -4 2bw'
loop_
_atom_site_label
_atom_site_type_symbol
_atom_site_fract_x
_atom_site_fract_y
_atom_site_fract_z
Mg1 Mg 0.000 0.000 0.000
H1 H 0.115 0.250 0.125
Pb1 Pb 0.000 0.000 0.500



Run two
# MgH2Pb, optimized geometry, DFT PBE
# magnetization = 0.000 μB/f.u.
# Fermi-level density of states = 5.03 states/eV per cell
data_MgH2Pb
_cell_length_a 6.161
_cell_length_b 6.161
_cell_length_c 6.161
_cell_angle_alpha 90.00
_cell_angle_beta 90.00
_cell_angle_gamma 90.00
_symmetry_space_group_name_H-M 'F m -3 m'
_symmetry_Int_Tables_number 225
_symmetry_space_group_name_Hall '-F 4 2 3'
loop_
_atom_site_label
_atom_site_type_symbol
_atom_site_fract_x
_atom_site_fract_y
_atom_site_fract_z
Mg1 Mg 0.000 0.000 0.000
H1 H 0.250 0.250 0.250
Pb1 Pb 0.000 0.000 0.500



The winner here is run one, beating the second structure by 369 meV per atom.



Run one
# MgHPb, optimized geometry, DFT PBE
# magnetization = 0.000 μB/f.u.
# Fermi-level density of states = 0.77 states/eV per cell
data_MgHPb
_cell_length_a 3.3718
_cell_length_b 3.3718
_cell_length_c 5.6229
_cell_angle_alpha 90.00
_cell_angle_beta 90.00
_cell_angle_gamma 120.00
_symmetry_space_group_name_H-M 'P -6 m 2'
_symmetry_Int_Tables_number 187
_symmetry_space_group_name_Hall 'P -6 2'
loop_
_atom_site_label
_atom_site_type_symbol
_atom_site_fract_x
_atom_site_fract_y
_atom_site_fract_z
Mg1 Mg 0.0000 0.0000 0.0000
H1 H 0.6667 0.3333 0.0000
Pb1 Pb 0.3333 0.6667 0.5000



Run two
# MgHPb, optimized geometry, DFT PBE
# magnetization = 0.000 μB/f.u.
# Fermi-level density of states = 0.82 states/eV per cell
data_MgHPb
_cell_length_a 4.282
_cell_length_b 3.880
_cell_length_c 6.560
_cell_angle_alpha 90.00
_cell_angle_beta 90.06
_cell_angle_gamma 90.00
_symmetry_space_group_name_H-M 'P 1 21/m 1'
_symmetry_Int_Tables_number 11
_symmetry_space_group_name_Hall '-P 2yb'
loop_
_atom_site_label
_atom_site_type_symbol
_atom_site_fract_x
_atom_site_fract_y
_atom_site_fract_z
Mg1 Mg 0.249 0.250 0.116
H1 H 0.249 0.750 0.006
Pb1 Pb 0.250 0.250 0.606



The winner here is run two, beating the second structure by 20 meV per atom.



Run one
# Mg2HRuPb, optimized geometry, DFT PBE
# magnetization = 0.000 μB/f.u.
# Fermi-level density of states = 3.01 states/eV per cell
data_Mg2HRuPb
_cell_length_a 4.699
_cell_length_b 4.699
_cell_length_c 3.585
_cell_angle_alpha 90.00
_cell_angle_beta 90.00
_cell_angle_gamma 90.00
_symmetry_space_group_name_H-M 'P 4/m m m'
_symmetry_Int_Tables_number 123
_symmetry_space_group_name_Hall '-P 4 2'
loop_
_atom_site_label
_atom_site_type_symbol
_atom_site_fract_x
_atom_site_fract_y
_atom_site_fract_z
Mg1 Mg 0.000 0.500 0.000
H1 H 0.000 0.000 0.000
Ru1 Ru 0.000 0.000 0.500
Pb1 Pb 0.500 0.500 0.500



Run two
# Mg2HRuPb, optimized geometry, DFT PBE
# magnetization = 0.000 μB/f.u.
# Fermi-level density of states = 2.83 states/eV per cell
data_Mg2HRuPb
_cell_length_a 4.973
_cell_length_b 4.973
_cell_length_c 5.156
_cell_angle_alpha 90.00
_cell_angle_beta 90.00
_cell_angle_gamma 90.00
_symmetry_space_group_name_H-M 'P 4/m m m'
_symmetry_Int_Tables_number 123
_symmetry_space_group_name_Hall '-P 4 2'
loop_
_atom_site_label
_atom_site_type_symbol
_atom_site_fract_x
_atom_site_fract_y
_atom_site_fract_z
Mg1 Mg 0.000 0.500 0.000
H1 H 0.000 0.000 0.500
Ru1 Ru 0.500 0.500 0.000
Pb1 Pb 0.500 0.500 0.500



The winner here is run one, beating the second structure by 598 meV per atom.



Run one
# SrMg2HPb, optimized geometry, DFT PBE
# magnetization = 0.000 μB/f.u.
# Fermi-level density of states = 5.84 states/eV per cell
data_SrMg2HPb
_cell_length_a 4.717
_cell_length_b 11.797
_cell_length_c 9.031
_cell_angle_alpha 90.00
_cell_angle_beta 90.00
_cell_angle_gamma 90.00
_symmetry_space_group_name_H-M 'C m c m'
_symmetry_Int_Tables_number 63
_symmetry_space_group_name_Hall '-C 2c 2'
loop_
_atom_site_label
_atom_site_type_symbol
_atom_site_fract_x
_atom_site_fract_y
_atom_site_fract_z
Sr1 Sr 0.000 0.061 0.250
Mg1 Mg 0.000 0.337 0.053
H1 H 0.000 0.500 0.000
Pb1 Pb 0.000 0.222 0.750



Run two
# SrMg2HPb, optimized geometry, DFT PBE
# magnetization = 0.000 μB/f.u.
# Fermi-level density of states = 1.27 states/eV per cell
data_SrMg2HPb
_cell_length_a 4.805
_cell_length_b 4.805
_cell_length_c 4.872
_cell_angle_alpha 90.00
_cell_angle_beta 90.00
_cell_angle_gamma 90.00
_symmetry_space_group_name_H-M 'P 4/m m m'
_symmetry_Int_Tables_number 123
_symmetry_space_group_name_Hall '-P 4 2'
loop_
_atom_site_label
_atom_site_type_symbol
_atom_site_fract_x
_atom_site_fract_y
_atom_site_fract_z
Sr1 Sr 0.000 0.000 0.000
Mg1 Mg 0.000 0.500 0.500
H1 H 0.000 0.000 0.500
Pb1 Pb 0.500 0.500 0.000



The winner here is run two, beating the second structure by 11 meV per atom.



Run one
# MgH3Pd6, optimized geometry, DFT PBE
# magnetization = 0.000 μB/f.u.
# Fermi-level density of states = 6.85 states/eV per cell
data_MgH3Pd6
_cell_length_a 5.384
_cell_length_b 5.446
_cell_length_c 5.678
_cell_angle_alpha 103.78
_cell_angle_beta 106.61
_cell_angle_gamma 116.55
_symmetry_space_group_name_H-M 'P 1'
_symmetry_Int_Tables_number 1
_symmetry_space_group_name_Hall 'P 1'
loop_
_atom_site_label
_atom_site_type_symbol
_atom_site_fract_x
_atom_site_fract_y
_atom_site_fract_z
Mg1 Mg 0.000 0.000 0.000
H1 H 0.330 0.684 0.007
H2 H 0.464 0.200 0.659
H3 H 0.761 0.590 0.360
Pd1 Pd 0.420 0.916 0.337
Pd2 Pd 0.423 0.909 0.825
Pd3 Pd 0.489 0.492 0.496
Pd4 Pd 0.520 0.483 0.005
Pd5 Pd 0.919 0.405 0.819
Pd6 Pd 0.997 0.994 0.496



Run two
# MgH3Pd6, optimized geometry, DFT PBE
# magnetization = 0.000 μB/f.u.
# Fermi-level density of states = 5.41 states/eV per cell
data_MgH3Pd6
_cell_length_a 9.114
_cell_length_b 2.848
_cell_length_c 9.378
_cell_angle_alpha 90.00
_cell_angle_beta 104.55
_cell_angle_gamma 90.00
_symmetry_space_group_name_H-M 'P 1 21/m 1'
_symmetry_Int_Tables_number 11
_symmetry_space_group_name_Hall '-P 2yb'
loop_
_atom_site_label
_atom_site_type_symbol
_atom_site_fract_x
_atom_site_fract_y
_atom_site_fract_z
Mg1 Mg 0.049 0.250 0.159
H1 H 0.182 0.250 0.573
H2 H 0.362 0.750 0.082
H3 H 0.466 0.750 0.667
Pd1 Pd 0.093 0.750 0.413
Pd2 Pd 0.177 0.750 0.711
Pd3 Pd 0.225 0.250 0.974
Pd4 Pd 0.316 0.750 0.261
Pd5 Pd 0.379 0.250 0.548
Pd6 Pd 0.468 0.750 0.861



The winner here is run two, beating the second structure by 27 meV per atom.



Run one
# MgH4Pd2, optimized geometry, DFT PBE
# magnetization = 0.000 μB/f.u.
# Fermi-level density of states = 3.33 states/eV per cell
data_MgH4Pd2
_cell_length_a 5.091
_cell_length_b 8.531
_cell_length_c 6.410
_cell_angle_alpha 90.00
_cell_angle_beta 113.10
_cell_angle_gamma 90.00
_symmetry_space_group_name_H-M 'C 1 c 1'
_symmetry_Int_Tables_number 9
_symmetry_space_group_name_Hall 'C -2yc'
loop_
_atom_site_label
_atom_site_type_symbol
_atom_site_fract_x
_atom_site_fract_y
_atom_site_fract_z
Mg1 Mg 0.000 0.125 0.000
H1 H 0.150 0.445 0.842
H2 H 0.170 0.059 0.358
H3 H 0.306 0.193 0.662
H4 H 0.310 0.307 0.143
Pd1 Pd 0.026 0.450 0.072
Pd2 Pd 0.456 0.299 0.930



Run two
# MgH4Pd2, optimized geometry, DFT PBE
# magnetization = 0.000 μB/f.u.
# Fermi-level density of states = 5.08 states/eV per cell
data_MgH4Pd2
_cell_length_a 3.136
_cell_length_b 9.548
_cell_length_c 8.236
_cell_angle_alpha 90.00
_cell_angle_beta 90.00
_cell_angle_gamma 90.00
_symmetry_space_group_name_H-M 'C m c m'
_symmetry_Int_Tables_number 63
_symmetry_space_group_name_Hall '-C 2c 2'
loop_
_atom_site_label
_atom_site_type_symbol
_atom_site_fract_x
_atom_site_fract_y
_atom_site_fract_z
Mg1 Mg 0.000 0.102 0.250
H1 H 0.000 0.000 0.000
H2 H 0.000 0.251 0.610
H3 H 0.000 0.458 0.250
Pd1 Pd 0.000 0.365 0.064



The winner here is run one, beating the second structure by 31 meV per atom.